# 1
{"formula": "RbCd3Hg4", "functional": "PBE", "state": "optimized geometry", "space_group": "Pm-3n (223)", "de_polymorph_mev_per_atom": 105, "total_magnetization_mub_per_fu": 0.00, "e_tot_ev_per_cell": -9.33, "lattice": [[-6.1953, -3.3494, -4.3636], [4.7369, -6.5897, -1.6671], [-2.7967, -3.7414, 6.8426]], "species": ["Hg", "Hg", "Hg", "Hg", "Hg", "Hg", "Hg", "Hg", "Rb", "Rb", "Cd", "Cd", "Cd", "Cd", "Cd", "Cd"], "fractional_positions": [[0.7500, 0.7500, 0.7500], [0.2500, 0.2500, 0.7500], [0.7500, 0.2500, 0.2500], [0.2500, 0.7500, 0.7500], [0.7500, 0.2500, 0.7500], [0.2500, 0.7500, 0.2500], [0.2500, 0.2500, 0.2500], [0.7500, 0.7500, 0.2500], [0.0000, 0.0000, 0.0000], [0.5000, 0.5000, 0.5000], [0.7500, 0.0000, 0.5000], [0.5000, 0.2500, 0.0000], [0.0000, 0.5000, 0.2500], [0.0000, 0.5000, 0.7500], [0.5000, 0.7500, 0.0000], [0.2500, 0.0000, 0.5000]]}

=====

# 2
{"formula": "LaPm4In", "functional": "PBE", "state": "optimized geometry", "space_group": "P2_1/m (11)", "de_polymorph_mev_per_atom": 25, "total_magnetization_mub_per_fu": 0.00, "e_tot_ev_per_cell": -54.88, "lattice": [[-3.6008, 3.5055, 2.5832], [1.1854, -10.6916, 3.7970], [5.1496, 2.1054, 4.3209]], "species": ["In", "In", "Pm", "Pm", "Pm", "Pm", "Pm", "Pm", "Pm", "Pm", "La", "La"], "fractional_positions": [[0.6790, 0.9294, 0.7500], [0.3210, 0.0706, 0.2500], [0.6716, 0.9212, 0.2500], [0.0131, 0.7627, 0.4959], [0.3619, 0.6112, 0.7500], [0.9869, 0.2373, 0.9959], [0.6381, 0.3888, 0.2500], [0.9869, 0.2373, 0.5041], [0.0131, 0.7627, 0.0041], [0.3284, 0.0788, 0.7500], [0.3212, 0.5718, 0.2500], [0.6788, 0.4282, 0.7500]]}

=====

# 3
{"formula": "LiCo2BAsAu", "functional": "PBE", "state": "optimized geometry", "space_group": "P4mm (99)", "de_polymorph_mev_per_atom": 0, "total_magnetization_mub_per_fu": 0.00, "e_tot_ev_per_cell": -32.25, "lattice": [[-0.8695, -2.4826, 2.4820], [3.5041, -0.7687, 0.4586], [0.3528, 4.1716, 4.2961]], "species": ["Li", "Co", "Co", "As", "Au", "B"], "fractional_positions": [[0.5000, 0.5000, 0.9241], [0.5000, 0.0000, 0.3398], [0.0000, 0.5000, 0.3398], [0.0000, 0.0000, 0.0985], [0.0000, 0.0000, 0.6810], [0.5000, 0.5000, 0.4752]]}

=====

# 4
{"formula": "ScCuOs", "functional": "PBE", "state": "optimized geometry", "space_group": "Imma (74)", "de_polymorph_mev_per_atom": 0, "total_magnetization_mub_per_fu": 0.00, "e_tot_ev_per_cell": -45.19, "lattice": [[-4.3881, 1.2413, -2.2205], [-4.2871, -2.6852, 1.1779], [-3.8561, 1.9209, 2.9013]], "species": ["Cu", "Cu", "Sc", "Sc", "Os", "Os"], "fractional_positions": [[0.5000, 0.0000, 0.5000], [0.5000, 0.5000, 0.0000], [0.8787, 0.3713, 0.3713], [0.1213, 0.6287, 0.6287], [0.0000, 0.0000, 0.0000], [0.5000, 0.0000, 0.0000]]}

=====

# 5
{"formula": "K2LaCr", "functional": "PBE", "state": "optimized geometry", "space_group": "Cm (8)", "de_polymorph_mev_per_atom": 82, "total_magnetization_mub_per_fu": 3.97, "e_tot_ev_per_cell": -14.25, "lattice": [[-1.8718, 2.5905, -2.3913], [-3.9460, -0.2530, -0.5455], [-3.6959, 8.5308, 8.9888]], "species": ["K", "K", "Cr", "La"], "fractional_positions": [[0.7562, 0.7562, 0.7313], [0.9783, 0.9783, 0.0579], [0.2414, 0.2414, 0.2762], [0.5241, 0.5241, 0.4347]]}

=====

# 6
{"formula": "Na6Sn2Pd", "functional": "PBE", "state": "optimized geometry", "space_group": "R-3m (166)", "de_polymorph_mev_per_atom": 0, "total_magnetization_mub_per_fu": 0.00, "e_tot_ev_per_cell": -22.79, "lattice": [[5.1633, 0.0000, 1.4175], [2.3871, 4.5784, 1.4175], [-0.1406, -0.0852, 10.6249]], "species": ["Na", "Na", "Na", "Na", "Na", "Na", "Sn", "Sn", "Pd"], "fractional_positions": [[0.8078, 0.8078, 0.5765], [0.1922, 0.1922, 0.4235], [0.4183, 0.4183, 0.7451], [0.5817, 0.5817, 0.2549], [0.3054, 0.3054, 0.0837], [0.6946, 0.6946, 0.9163], [0.0857, 0.0857, 0.7428], [0.9143, 0.9143, 0.2572], [0.0000, 0.0000, 0.0000]]}

=====

no.,calculated formation energy (eV per atom)
1,0.032
2,-0.129
3,-0.254
4,-0.312
5,0.625
6,-0.186